Compound: LiIn3I4
Source: Alexandria via LeMat-Bulk
Functional: PBE
Structure: relaxed

Values from the calculation:
- M_tot (μB/atom) = 0.000
- SG = Pnma (62)
- crystal system = orthorhombic
- polymorph energy (0 for the lowest one) (eV per formula unit) = 0.031
- Fermi-level density of states (states/eV/cell) = 0.00

Lattice parameters (Å, degrees): 10.5836 12.2595 10.3387 90.00 90.00 90.00
With the nearest neighbours (Å) after each atom.
Positions (direct):
Li 0.1782 0.2500 0.0190  4 I 2.72-2.78
Li 0.3218 0.7500 0.5190  4 I 2.72-2.78
Li 0.6782 0.2500 0.4810  4 I 2.72-2.78
Li 0.8218 0.7500 0.9810  4 I 2.72-2.78
In 0.0422 0.2500 0.6146  4 I 3.30-3.59
In 0.1091 0.5725 0.8108  5 I 3.32-3.67
In 0.1091 0.9275 0.8108  5 I 3.32-3.67
In 0.3909 0.0725 0.3108  5 I 3.32-3.67
In 0.3909 0.4275 0.3108  5 I 3.32-3.67
In 0.4578 0.7500 0.1146  4 I 3.30-3.59
In 0.5422 0.2500 0.8854  4 I 3.30-3.59
In 0.6091 0.5725 0.6892  5 I 3.32-3.67
In 0.6091 0.9275 0.6892  5 I 3.32-3.67
In 0.8909 0.0725 0.1892  5 I 3.32-3.67
In 0.8909 0.4275 0.1892  5 I 3.32-3.67
In 0.9578 0.7500 0.3854  4 I 3.30-3.59
I 0.0633 0.7500 0.0721  1 Li 2.72
I 0.1537 0.2500 0.2870  1 Li 2.78
I 0.1753 0.5713 0.4702  1 Li 2.73
I 0.1753 0.9287 0.4702  1 Li 2.73
I 0.3247 0.0713 0.9702  1 Li 2.73
I 0.3247 0.4287 0.9702  1 Li 2.73
I 0.3463 0.7500 0.7870  1 Li 2.78
I 0.4367 0.2500 0.5721  1 Li 2.72
I 0.5633 0.7500 0.4279  1 Li 2.72
I 0.6537 0.2500 0.2130  1 Li 2.78
I 0.6753 0.5713 0.0298  1 Li 2.73
I 0.6753 0.9287 0.0298  1 Li 2.73
I 0.8247 0.0713 0.5298  1 Li 2.73
I 0.8247 0.4287 0.5298  1 Li 2.73
I 0.8463 0.7500 0.7130  1 Li 2.78
I 0.9367 0.2500 0.9279  1 Li 2.72


Compound: LiInI4
Source: Alexandria via LeMat-Bulk
Functional: PBE
Structure: relaxed

Values from the calculation:
- M_tot (μB/atom) = 0.000
- SG = P2_1/c (14)
- crystal system = monoclinic
- polymorph energy (0 for the lowest one) (eV per formula unit) = 0.009
- Fermi-level density of states (states/eV/cell) = 0.00

Lattice parameters (Å, degrees): 8.8178 7.6666 17.7550 90.00 102.87 90.00
With the nearest neighbours (Å) after each atom.
Positions (direct):
Li 0.2077 0.0976 0.4095  4 I 2.81-2.83
Li 0.2077 0.4024 0.9095  4 I 2.81-2.83
Li 0.7923 0.5976 0.0905  4 I 2.81-2.83
Li 0.7923 0.9024 0.5905  4 I 2.81-2.83
In 0.2942 0.6160 0.0945  4 I 2.76-2.77
In 0.2942 0.8840 0.5945  4 I 2.76-2.77
In 0.7058 0.1160 0.4055  4 I 2.76-2.77
In 0.7058 0.3840 0.9055  4 I 2.76-2.77
I 0.0803 0.7109 0.1805  1 In 2.77, 1 Li 2.82
I 0.0803 0.7891 0.6805  1 In 2.77, 1 Li 2.82
I 0.2261 0.7393 0.4478  1 In 2.77, 1 Li 2.83
I 0.2261 0.7607 0.9478  1 In 2.77, 1 Li 2.83
I 0.2769 0.2360 0.5599  1 In 2.76, 1 Li 2.81
I 0.2769 0.2640 0.0599  1 In 2.76, 1 Li 2.81
I 0.4153 0.2139 0.3213  1 In 2.77, 1 Li 2.81
I 0.4153 0.2861 0.8213  1 In 2.77, 1 Li 2.81
I 0.5847 0.7139 0.1787  1 In 2.77, 1 Li 2.81
I 0.5847 0.7861 0.6787  1 In 2.77, 1 Li 2.81
I 0.7231 0.7360 0.9401  1 In 2.76, 1 Li 2.81
I 0.7231 0.7640 0.4401  1 In 2.76, 1 Li 2.81
I 0.7739 0.2393 0.0522  1 In 2.77, 1 Li 2.83
I 0.7739 0.2607 0.5522  1 In 2.77, 1 Li 2.83
I 0.9197 0.2109 0.3195  1 In 2.77, 1 Li 2.82
I 0.9197 0.2891 0.8195  1 In 2.77, 1 Li 2.82


Compound: LiInI3
Source: Alexandria via LeMat-Bulk
Functional: PBE
Structure: relaxed

Values from the calculation:
- E_tot (eV per atom) = -2.567
- M_tot (μB/atom) = 0.000
- SG = P2_1/c (14)
- crystal system = monoclinic
- Fermi-level density of states (states/eV/cell) = 4.75

Lattice parameters (Å, degrees): 8.8499 6.1019 14.1146 90.00 109.45 90.00
With the nearest neighbours (Å) after each atom.
Positions (direct):
Li 0.0734 0.0006 0.1757  5 I 2.87-3.07
Li 0.0734 0.4994 0.6757  5 I 2.87-3.07
Li 0.9266 0.5006 0.3243  5 I 2.87-3.07
Li 0.9266 0.9994 0.8243  5 I 2.87-3.07
In 0.3965 0.5006 0.3389  6 I 3.03-3.37
In 0.3965 0.9994 0.8389  6 I 3.03-3.37
In 0.6035 0.0006 0.1611  6 I 3.03-3.37
In 0.6035 0.4994 0.6611  6 I 3.03-3.37
I 0.0754 0.9996 0.6722  3 Li 2.87-3.05, 1 In 3.03
I 0.0754 0.5004 0.1722  3 Li 2.87-3.05, 1 In 3.03
I 0.2362 0.9999 0.0015  2 Li 3.03-3.24, 2 In 3.07-3.28
I 0.2362 0.5001 0.5015  2 Li 3.03-3.24, 2 In 3.07-3.28
I 0.4121 0.0005 0.3316  3 In 3.06-3.37, 1 Li 3.07
I 0.4121 0.4995 0.8316  3 In 3.06-3.37, 1 Li 3.07
I 0.5879 0.5005 0.1684  3 In 3.06-3.37, 1 Li 3.07
I 0.5879 0.9995 0.6684  3 In 3.06-3.37, 1 Li 3.07
I 0.7638 0.0001 0.9985  2 Li 3.03-3.24, 2 In 3.07-3.28
I 0.7638 0.4999 0.4985  2 Li 3.03-3.24, 2 In 3.07-3.28
I 0.9246 0.0004 0.3278  3 Li 2.87-3.05, 1 In 3.03
I 0.9246 0.4996 0.8278  3 Li 2.87-3.05, 1 In 3.03


Compound: LiInI4
Source: Alexandria via LeMat-Bulk
Functional: PBE
Structure: relaxed

Values from the calculation:
- M_tot (μB/atom) = 0.000
- SG = P-42c (112)
- crystal system = tetragonal
- polymorph energy (0 for the lowest one) (eV per formula unit) = 0.000
- Fermi-level density of states (states/eV/cell) = 0.00

Lattice parameters (Å, degrees): 6.8251 6.8251 11.8366 90.00 90.00 90.00
With the nearest neighbours (Å) after each atom.
Positions (direct):
Li 0.0000 0.0000 0.0000  4 I 2.81
Li 0.0000 0.0000 0.5000  4 I 2.81
In 0.0000 0.5000 0.2500  4 I 2.77
In 0.5000 0.0000 0.7500  4 I 2.77
I 0.2392 0.2650 0.3819  1 In 2.77, 1 Li 2.81
I 0.2392 0.7350 0.1181  1 In 2.77, 1 Li 2.81
I 0.2650 0.2392 0.8819  1 In 2.77, 1 Li 2.81
I 0.2650 0.7608 0.6181  1 In 2.77, 1 Li 2.81
I 0.7350 0.2392 0.6181  1 In 2.77, 1 Li 2.81
I 0.7350 0.7608 0.8819  1 In 2.77, 1 Li 2.81
I 0.7608 0.2650 0.1181  1 In 2.77, 1 Li 2.81
I 0.7608 0.7350 0.3819  1 In 2.77, 1 Li 2.81